Density functional theory data (GGA-PBEsol) for a relaxed CrGePdCl2 crystal.

Properties
**VASP energy**: -21.62 eV/f.u.
**N(E_F)**: 2.508 states/eV/cell
**Symmetry**: P4/mmm (123)
**Uncorrected formation energy**: 0.71 eV per atom
**Calculated density**: 4.3 g/cm³

a = 4.877 Å, b = 4.877 Å, c = 4.921 Å
α = 90.00°, β = 90.00°, γ = 90.00°
Fractional positions:
Cr  0.000  0.000  0.000
Ge  0.000  0.000  0.500
Pd  0.500  0.500  0.000
Cl  0.000  0.500  0.500
Cl  0.500  0.000  0.500